(1)
The following is a DFT calculation (GGA-PBE) of a relaxed Cs2PaCl4 crystal.

Properties
DOS at the Fermi energy, states/eV/f.u.: 6.23
Volume, A^3/atom: 37.75

abc: 5.4784 5.4784 9.6192
angles: 73.46 73.46 90.00
Closest atoms and distances in Å follow each position.
Fractional positions:
Cl 0.1619 0.1619 0.6762  1 Pa 2.85
Cl 0.0000 0.5000 0.0000  2 Pa 2.74
Cl 0.8381 0.8381 0.3238  1 Pa 2.85
Cl 0.5000 0.0000 0.0000  2 Pa 2.74
Cs 0.3593 0.3593 0.2814  9 Cl 3.48-3.89
Cs 0.6407 0.6407 0.7186  9 Cl 3.48-3.89
Pa 0.0000 0.0000 0.0000  6 Cl 2.74-2.85

=====

(2)
The following is a DFT calculation (GGA-PBE) of a relaxed CsPa2Cl8 crystal.

Properties
DOS at the Fermi energy, states/eV/f.u.: 5.70
Offset from the most stable computed form, eV/atom: 0.000
Volume, A^3/atom: 38.31

abc: 8.7436 7.6055 7.6055
angles: 59.60 102.97 102.97
Closest atoms and distances in Å follow each position.
Fractional positions:
Pa 0.5065 0.2497 0.2497  6 Cl 2.58-2.77
Pa 0.4935 0.7503 0.7503  6 Cl 2.58-2.77
Cl 0.7640 0.7059 0.7059  1 Pa 2.58
Cl 0.2320 0.8076 0.8076  1 Pa 2.59
Cl 0.3765 0.3475 0.8491  2 Pa 2.76-2.77
Cl 0.6235 0.6525 0.1509  2 Pa 2.76-2.77
Cl 0.7680 0.1924 0.1924  1 Pa 2.59
Cl 0.3765 0.8491 0.3475  2 Pa 2.76-2.77
Cl 0.2360 0.2941 0.2941  1 Pa 2.58
Cl 0.6235 0.1509 0.6525  2 Pa 2.76-2.77
Cs 0.0000 0.0000 0.0000  8 Cl 3.64-3.90

=====

(3)
The following is a DFT calculation (GGA-PBE) of a relaxed Cs6PaCl12 crystal.

Properties
DOS at the Fermi energy, states/eV/f.u.: 10.00
Volume, A^3/atom: 48.70

abc: 9.8522 9.8522 9.8522
angles: 98.02 98.02 98.02
Closest atoms and distances in Å follow each position.
Fractional positions:
Cs 0.6187 0.1631 0.3208  4 Cl 3.37-3.43
Cs 0.3208 0.6187 0.1631  4 Cl 3.37-3.43
Cs 0.3813 0.8369 0.6792  4 Cl 3.37-3.43
Cs 0.1631 0.3208 0.6187  4 Cl 3.37-3.43
Cs 0.6792 0.3813 0.8369  4 Cl 3.37-3.43
Cs 0.8369 0.6792 0.3813  4 Cl 3.37-3.43
Cl 0.0508 0.2610 0.9912  1 Pa 2.57
Cl 0.9492 0.7390 0.0088  1 Pa 2.57
Cl 0.5610 0.8434 0.4077  4 Cs 3.37-3.43
Cl 0.0088 0.9492 0.7390  1 Pa 2.57
Cl 0.1566 0.5923 0.4390  4 Cs 3.37-3.43
Cl 0.4390 0.1566 0.5923  4 Cs 3.37-3.43
Cl 0.7390 0.0088 0.9492  1 Pa 2.57
Cl 0.5923 0.4390 0.1566  4 Cs 3.37-3.43
Cl 0.8434 0.4077 0.5610  4 Cs 3.37-3.43
Cl 0.4077 0.5610 0.8434  4 Cs 3.37-3.43
Cl 0.2610 0.9912 0.0508  1 Pa 2.57
Cl 0.9912 0.0508 0.2610  1 Pa 2.57
Pa 0.0000 0.0000 0.0000  6 Cl 2.57

=====

(4)
The following is a DFT calculation (GGA-PBE) of a relaxed Cs2PaCl7 crystal.

Properties
DOS at the Fermi energy, states/eV/f.u.: 0.00
Volume, A^3/atom: 39.25

abc: 8.8822 10.2161 10.6114
angles: 75.63 65.26 64.23
Closest atoms and distances in Å follow each position.
Fractional positions:
Cl 0.5958 0.2500 0.7500  1 Pa 2.67
Cl 0.9337 0.3360 0.4895  1 Pa 2.61
Cl 0.6815 0.5252 0.7829  1 Pa 2.63
Cl 0.0281 0.3476 0.8783  1 Pa 2.69
Cl 0.9896 0.9748 0.7171  1 Pa 2.63
Cl 0.9719 0.6524 0.1217  1 Pa 2.69
Cl 0.4042 0.7500 0.2500  1 Pa 2.67
Cl 0.7459 0.8476 0.3783  1 Pa 2.69
Cl 0.0104 0.0252 0.2829  1 Pa 2.63
Cl 0.2407 0.8360 0.9895  1 Pa 2.61
Cl 0.3185 0.4748 0.2171  1 Pa 2.63
Cl 0.7593 0.1640 0.0105  1 Pa 2.61
Cl 0.2541 0.1524 0.6217  1 Pa 2.69
Cl 0.0663 0.6640 0.5105  1 Pa 2.61
Pa 0.8964 0.2500 0.7500  7 Cl 2.61-2.69
Pa 0.1036 0.7500 0.2500  7 Cl 2.61-2.69
Cs 0.2557 0.5932 0.7788  7 Cl 3.47-3.66
Cs 0.7443 0.4068 0.2212  7 Cl 3.47-3.66
Cs 0.3722 0.0932 0.2788  7 Cl 3.47-3.66
Cs 0.6278 0.9068 0.7212  7 Cl 3.47-3.66

=====

(5)
The following is a DFT calculation (GGA-PBE) of a relaxed CsPaCl2 crystal.

Properties
DOS at the Fermi energy, states/eV/f.u.: 4.59
Volume, A^3/atom: 30.49

abc: 3.6346 3.6346 10.8653
angles: 80.37 80.37 60.00
Closest atoms and distances in Å follow each position.
Fractional positions:
Pa 0.5000 0.5000 0.5000  6 Cl 2.89
Cs 0.0000 0.0000 0.0000  2 Cl 3.34, 6 Cs 3.63
Cl 0.1044 0.1044 0.6869  3 Pa 2.89
Cl 0.8956 0.8956 0.3131  3 Pa 2.89

=====

(6)
The following is a DFT calculation (GGA-PBE) of a relaxed CsPa2Cl11 crystal.

Properties
DOS at the Fermi energy, states/eV/f.u.: 0.00
Volume, A^3/atom: 42.28

abc: 12.6367 11.5847 11.5847
angles: 67.87 56.95 56.95
Closest atoms and distances in Å follow each position.
Fractional positions:
Cl 0.3982 0.8725 0.3743  1 Pa 2.54
Cl 0.6449 0.6257 0.1275  1 Pa 2.54
Cl 0.1192 0.0489 0.2011  1 Pa 2.54
Cl 0.2428 0.1821 0.8179  1 Pa 2.49
Cl 0.8692 0.4511 0.2989  1 Pa 2.54
Cl 0.0000 0.0000 0.0000  2 Pa 2.75
Cl 0.1018 0.1257 0.6275  1 Pa 2.54
Cl 0.6018 0.1275 0.6257  1 Pa 2.54
Cl 0.1449 0.6275 0.1257  1 Pa 2.54
Cl 0.8982 0.8743 0.3725  1 Pa 2.54
Cl 0.6192 0.7011 0.5489  1 Pa 2.54
Cl 0.8808 0.9511 0.7989  1 Pa 2.54
Cl 0.7428 0.3179 0.6821  1 Pa 2.49
Cl 0.3551 0.3743 0.8725  1 Pa 2.54
Cl 0.8551 0.3725 0.8743  1 Pa 2.54
Cl 0.7572 0.8179 0.1821  1 Pa 2.49
Cl 0.3808 0.2989 0.4511  1 Pa 2.54
Cl 0.3692 0.7989 0.9511  1 Pa 2.54
Cl 0.1308 0.5489 0.7011  1 Pa 2.54
Cl 0.5000 0.5000 0.5000  2 Pa 2.75
Cl 0.6308 0.2011 0.0489  1 Pa 2.54
Cl 0.2572 0.6821 0.3179  1 Pa 2.49
Pa 0.1367 0.8343 0.1657  6 Cl 2.49-2.75
Pa 0.3633 0.3343 0.6657  6 Cl 2.49-2.75
Pa 0.6367 0.6657 0.3343  6 Cl 2.49-2.75
Pa 0.8633 0.1657 0.8343  6 Cl 2.49-2.75
Cs 0.7500 0.7500 0.7500  8 Cl 3.74-3.83
Cs 0.2500 0.2500 0.2500  8 Cl 3.74-3.83

=====

(7)
The following is a DFT calculation (GGA-PBE) of a relaxed CsPa2Cl8 crystal.

Properties
DOS at the Fermi energy, states/eV/f.u.: 13.85
Offset from the most stable computed form, eV/atom: 0.039
Volume, A^3/atom: 28.03

abc: 5.4233 7.4967 8.8840
angles: 114.96 107.77 90.00
Closest atoms and distances in Å follow each position.
Fractional positions:
Cs 0.0000 0.0000 0.0000  8 Cl 3.44-3.58
Cl 0.4604 0.3592 0.4074  2 Pa 2.77-2.98
Cl 0.8941 0.3941 0.7883  2 Pa 2.83
Cl 0.5000 0.2832 0.0000  2 Pa 2.90, 1 Cl 3.25
Cl 0.1059 0.6059 0.2117  2 Pa 2.83
Cl 0.5000 0.7168 0.0000  2 Pa 2.90, 1 Cl 3.25
Cl 0.9470 0.0482 0.4074  2 Pa 2.77-2.98
Cl 0.0530 0.6408 0.5926  2 Pa 2.77-2.98
Cl 0.5396 0.9518 0.5926  2 Pa 2.77-2.98
Pa 0.3413 0.3413 0.6827  8 Cl 2.77-2.98
Pa 0.6587 0.6587 0.3173  8 Cl 2.77-2.98

=====

(8)
The following is a DFT calculation (GGA-PBE) of a relaxed Cs3PaCl8 crystal.

Properties
DOS at the Fermi energy, states/eV/f.u.: 0.00
Volume, A^3/atom: 38.02

abc: 8.4260 8.7628 8.4260
angles: 61.26 90.00 118.74
Closest atoms and distances in Å follow each position.
Fractional positions:
Pa 0.0000 0.0000 0.0000  8 Cl 2.70-2.73
Cl 0.7177 0.8654 0.8523  1 Pa 2.70
Cl 0.8523 0.1346 0.1477  1 Pa 2.70
Cl 0.9680 0.6599 0.0320  1 Pa 2.73
Cl 0.3081 0.3401 0.9680  1 Pa 2.73
Cl 0.1477 0.8654 0.2823  1 Pa 2.70
Cl 0.6919 0.6599 0.3081  1 Pa 2.73
Cl 0.0320 0.3401 0.6919  1 Pa 2.73
Cl 0.2823 0.1346 0.7177  1 Pa 2.70
Cs 0.5000 0.0000 0.5000  4 Cl 3.50
Cs 0.2500 0.5000 0.2500  8 Cl 3.42-3.82
Cs 0.7500 0.5000 0.7500  8 Cl 3.42-3.82

=====

(9)
The following is a DFT calculation (GGA-PBE) of a relaxed Cs3PaCl6 crystal.

Properties
DOS at the Fermi energy, states/eV/f.u.: 11.28
Volume, A^3/atom: 44.87

abc: 7.9419 7.9419 8.8361
angles: 111.44 111.44 100.76
Closest atoms and distances in Å follow each position.
Fractional positions:
Pa 0.0000 0.0000 0.0000  6 Cl 2.75-2.77
Cs 0.5000 0.5000 0.0000  6 Cl 3.37-3.59
Cs 0.2500 0.7500 0.5000  4 Cl 3.55
Cs 0.7500 0.2500 0.5000  4 Cl 3.55
Cl 0.2246 0.7754 0.0000  1 Pa 2.75
Cl 0.3300 0.3300 0.2614  1 Pa 2.77
Cl 0.9314 0.9314 0.2614  1 Pa 2.77
Cl 0.7754 0.2246 0.0000  1 Pa 2.75
Cl 0.6700 0.6700 0.7386  1 Pa 2.77
Cl 0.0686 0.0686 0.7386  1 Pa 2.77

=====

(10)
The following is a DFT calculation (GGA-PBE) of a relaxed Cs2PaCl8 crystal.

Properties
DOS at the Fermi energy, states/eV/f.u.: 0.50
Offset from the most stable computed form, eV/atom: 0.000
Volume, A^3/atom: 41.05

abc: 5.0646 7.4850 12.3431
angles: 99.39 101.84 90.00
Closest atoms and distances in Å follow each position.
Fractional positions:
Cl 0.0158 0.8171 0.0317  2 Pa 2.93, 5 Cl 2.96-3.24
Cl 0.7385 0.5732 0.4770  2 Cl 2.85
Cl 0.9842 0.1829 0.9683  2 Pa 2.93, 5 Cl 2.96-3.24
Cl 0.5605 0.3186 0.1211  1 Pa 2.58
Cl 0.4395 0.6814 0.8789  1 Pa 2.58
Cl 0.4007 0.0847 0.8014  1 Pa 2.58
Cl 0.2615 0.4268 0.5230  2 Cl 2.85
Cl 0.5993 0.9153 0.1986  1 Pa 2.58
Cs 0.1417 0.6018 0.2834  8 Cl 3.37-3.71
Cs 0.8583 0.3982 0.7166  8 Cl 3.37-3.71
Pa 0.5000 0.0000 0.0000  4 Cl 2.58

=====

(11)
The following is a DFT calculation (GGA-PBE) of a relaxed Cs2Pa3S8Cl crystal.

Properties
Volume, A^3/atom: 35.95

abc: 8.0901 8.0901 10.0326
angles: 66.22 66.22 60.00
Closest atoms and distances in Å follow each position.
Fractional positions:
Pa 0.5029 0.9971 0.9972  6 S 2.60-2.76
Pa 0.5029 0.5029 0.9972  6 S 2.60-2.76
Pa 0.9971 0.5029 0.9972  6 S 2.60-2.76
Cs 0.5027 0.5027 0.4918  6 S 3.72-3.75
Cs 0.1432 0.1432 0.5703  4 S 3.52-3.66
S 0.2355 0.6873 0.8416  2 Pa 2.64
S 0.2808 0.2808 0.1577  3 Pa 2.76
S 0.7198 0.7198 0.8407  3 Pa 2.69
S 0.7692 0.7692 0.1491  2 Pa 2.60
S 0.2355 0.2355 0.8416  2 Pa 2.64
S 0.6873 0.2355 0.8416  2 Pa 2.64
S 0.3125 0.7692 0.1491  2 Pa 2.60
S 0.7692 0.3125 0.1491  2 Pa 2.60
Cl 0.8340 0.8340 0.4981  1 S 3.04

=====

(12)
The following is a DFT calculation (GGA-PBE) of a relaxed Cs2PaSCl5 crystal.

Properties
DOS at the Fermi energy, states/eV/f.u.: 0.00
Volume, A^3/atom: 36.65

abc: 7.8164 7.8164 7.8164
angles: 87.47 121.47 121.47
Closest atoms and distances in Å follow each position.
Fractional positions:
Pa 0.0000 0.9905 0.9905  1 S 2.43, 5 Cl 2.62-2.66
Cl 0.5153 0.7597 0.7597  1 Pa 2.62
Cl 0.0000 0.2444 0.7597  1 Pa 2.62
Cl 0.4847 0.2444 0.2444  1 Pa 2.62
Cl 0.0000 0.2256 0.2256  1 Pa 2.66
Cl 0.0000 0.7597 0.2444  1 Pa 2.62
S 0.0000 0.7754 0.7754  1 Pa 2.43
Cs 0.5000 0.2501 0.7501  10 Cl 3.83-3.93, 2 S 3.83
Cs 0.5000 0.7501 0.2501  10 Cl 3.83-3.93, 2 S 3.83

=====

Number 1: uncorrected formation energy -1565 meV per atom, electronic total energy -4.220 eV per atom. Number 2: uncorrected formation energy -1844 meV per atom, electronic total energy -4.992 eV per atom. Number 3: uncorrected formation energy -1803 meV per atom, electronic total energy -3.739 eV per atom. Number 4: uncorrected formation energy -1944 meV per atom, electronic total energy -4.357 eV per atom. Number 5: uncorrected formation energy -981 meV per atom, electronic total energy -4.491 eV per atom. Number 6: uncorrected formation energy -1898 meV per atom, electronic total energy -4.766 eV per atom. Number 7: uncorrected formation energy -1806 meV per atom, electronic total energy -4.953 eV per atom. Number 8: uncorrected formation energy -1915 meV per atom, electronic total energy -4.151 eV per atom. Number 9: uncorrected formation energy -1841 meV per atom, electronic total energy -4.155 eV per atom. Number 10: uncorrected formation energy -1620 meV per atom, electronic total energy -3.982 eV per atom. Number 11: uncorrected formation energy -1495 meV per atom, electronic total energy -6.142 eV per atom. Number 12: uncorrected formation energy -1920 meV per atom, electronic total energy -4.650 eV per atom.